1.
A plane-wave DFT calculation with GGA-PBE was carried out for a relaxed structure of LiNpTe2.

```
LiNpTe2
1.0
2.0943 1.2092 7.4361
-2.0943 1.2092 7.4361
0.0000 -2.4183 7.4361
Li Np Te
1 1 2
direct
0.0000 0.0000 0.0000 Li
0.8303 0.8303 0.8303 Np
0.4084 0.4084 0.4084 Te
0.5853 0.5853 0.5853 Te
```

Summary:
Formation energy without anion corrections ... -0.743 eV per atom
Crystal system ... trigonal
Energy ... -24.111 eV/f.u.
DOS(E_F) ... 8.522 states/eV/f.u.


2.
A plane-wave DFT calculation with GGA-PBE was carried out for a relaxed structure of HfBSb2Te.

```
HfBSb2Te
1.0
5.5153 0.0000 0.0000
0.0000 5.5153 0.0000
0.0000 0.0000 5.5120
Hf B Sb Te
1 1 2 1
direct
0.0000 0.0000 0.0000 Hf
0.5000 0.5000 0.5000 B
0.0000 0.5000 0.0000 Sb
0.5000 0.0000 0.0000 Sb
0.0000 0.0000 0.5000 Te
```

Summary:
Formation energy without anion corrections ... 1.100 eV per atom
Energy above the lowest structure with this stoichiometry ... 2.25 eV per formula unit
Crystal system ... tetragonal
Energy ... -22.518 eV/f.u.
DOS(E_F) ... 3.584 states/eV/f.u.


3.
A plane-wave DFT calculation with GGA-PBE was carried out for a relaxed structure of Tb4Pr2YSc.

```
Tb4Pr2YSc
1.0
5.0514 0.0000 0.0000
0.0000 5.0514 0.0000
0.0000 0.0000 10.0450
Tb Pr Y Sc
4 2 1 1
direct
0.0000 0.5000 0.2443 Tb
0.0000 0.5000 0.7557 Tb
0.5000 0.0000 0.2443 Tb
0.5000 0.0000 0.7557 Tb
0.0000 0.0000 0.0000 Pr
0.5000 0.5000 0.5000 Pr
0.0000 0.0000 0.5000 Y
0.5000 0.5000 0.0000 Sc
```

Summary:
Calculated formation energy ... 0.036 eV per atom
Crystal system ... tetragonal
Energy ... -40.591 eV/f.u.
DOS(E_F) ... 12.039 states/eV/f.u.